1.
First-principles (GGA-PBEsol) data for crystalline KSbTe2Pd at its relaxed geometry, as listed in Alexandria via LeMat-Bulk.

Total magnetic moment, μB/f.u.: 0.000
Uncorrected formation energy, kJ/mol of atoms: -16.25
Raw total energy, eV per atom: -3.909

a b c (Å): 5.5110 5.5110 5.0283
angles (deg): 90.00 90.00 90.00
Last column: nearest neighbours and their distance in Å.
Sites, in units of the cell vectors:
K 0.0000 0.0000 0.0000  8 Te 3.73, 4 Sb 3.90
Sb 0.5000 0.5000 0.0000  2 Pd 2.51
Te 0.0000 0.5000 0.5000  2 Pd 2.76
Te 0.5000 0.0000 0.5000  2 Pd 2.76
Pd 0.5000 0.5000 0.5000  2 Sb 2.51, 4 Te 2.76



2.
First-principles (GGA-PBEsol) data for crystalline K2Pd3Se4 at its relaxed geometry, as listed in Alexandria via LeMat-Bulk.

Total magnetic moment, μB/f.u.: 0.000
Uncorrected formation energy, kJ/mol of atoms: -67.00
Raw total energy, eV per atom: -4.644

a b c (Å): 14.0056 13.2753 6.3029
angles (deg): 83.20 70.25 26.54
Last column: nearest neighbours and their distance in Å.
Sites, in units of the cell vectors:
K 0.0521 0.0521 0.1979  8 Se 3.43-3.67, 6 Pd 3.66-3.68, 1 K 3.76
K 0.1979 0.1979 0.0521  8 Se 3.43-3.67, 6 Pd 3.66-3.68, 1 K 3.76
K 0.8021 0.8021 0.9479  8 Se 3.43-3.67, 6 Pd 3.66-3.68, 1 K 3.76
K 0.9479 0.9479 0.8021  8 Se 3.43-3.67, 6 Pd 3.66-3.68, 1 K 3.76
Pd 0.1259 0.1259 0.6241  4 Se 2.45-2.46
Pd 0.3750 0.3750 0.3750  4 Se 2.45
Pd 0.3759 0.3759 0.8741  4 Se 2.45-2.46
Pd 0.6241 0.6241 0.1259  4 Se 2.45-2.46
Pd 0.6250 0.6250 0.6250  4 Se 2.45
Pd 0.8741 0.8741 0.3759  4 Se 2.45-2.46
Se 0.1501 0.4724 0.2669  3 Pd 2.45-2.46
Se 0.2669 0.6106 0.1501  3 Pd 2.45-2.46
Se 0.3894 0.7331 0.5276  3 Pd 2.45-2.46
Se 0.4724 0.1501 0.6106  3 Pd 2.45-2.46
Se 0.5276 0.8499 0.3894  3 Pd 2.45-2.46
Se 0.6106 0.2669 0.4724  3 Pd 2.45-2.46
Se 0.7331 0.3894 0.8499  3 Pd 2.45-2.46
Se 0.8499 0.5276 0.7331  3 Pd 2.45-2.46



3.
First-principles (GGA-PBEsol) data for crystalline KYPd2Se at its relaxed geometry, as listed in Alexandria via LeMat-Bulk.

Total magnetic moment, μB/f.u.: 0.000
Uncorrected formation energy, kJ/mol of atoms: 57.18
Raw total energy, eV per atom: -4.152

a b c (Å): 4.7199 4.7199 5.5284
angles (deg): 90.00 90.00 90.00
Last column: nearest neighbours and their distance in Å.
Sites, in units of the cell vectors:
K 0.0000 0.0000 0.0000  4 Pd 2.36
Y 0.5000 0.5000 0.5000  4 Se 3.34, 8 Pd 3.63
Pd 0.0000 0.5000 0.0000  2 K 2.36
Pd 0.5000 0.0000 0.0000  2 K 2.36
Se 0.0000 0.0000 0.5000  2 K 2.76



4.
First-principles (GGA-PBEsol) data for crystalline KSi4Pd4 at its relaxed geometry, as listed in Alexandria via LeMat-Bulk.

Total magnetic moment, μB/f.u.: 0.000
Uncorrected formation energy, kJ/mol of atoms: -56.47
Raw total energy, eV per atom: -5.914

a b c (Å): 6.3284 6.3284 6.3284
angles (deg): 97.44 97.44 137.82
Last column: nearest neighbours and their distance in Å.
Sites, in units of the cell vectors:
K 0.0000 0.0000 0.0000  4 Pd 3.15, 4 Si 3.38
Si 0.1036 0.6034 0.7230  5 Pd 2.41-2.53, 1 Si 2.63
Si 0.3806 0.1036 0.5002  5 Pd 2.41-2.53, 1 Si 2.63
Si 0.6034 0.8803 0.4998  5 Pd 2.41-2.53, 1 Si 2.63
Si 0.8803 0.3806 0.2770  5 Pd 2.41-2.53, 1 Si 2.63
Pd 0.1769 0.3205 0.5134  5 Si 2.41-2.53
Pd 0.3205 0.8071 0.1436  5 Si 2.41-2.53
Pd 0.6635 0.1769 0.8564  5 Si 2.41-2.53
Pd 0.8071 0.6635 0.4866  5 Si 2.41-2.53



5.
First-principles (GGA-PBEsol) data for crystalline KSr2Pd at its relaxed geometry, as listed in Alexandria via LeMat-Bulk.

E_form, kJ/mol of atoms: 3.8
Total magnetic moment, μB/f.u.: 0.000
Raw total energy, eV per atom: -2.654

a b c (Å): 5.6912 5.6912 5.6912
angles (deg): 60.00 60.00 60.00
Last column: nearest neighbours and their distance in Å.
Sites, in units of the cell vectors:
K 0.0000 0.0000 0.0000  8 Sr 3.49
Sr 0.2500 0.2500 0.2500  4 K 3.49, 4 Pd 3.49
Sr 0.7500 0.7500 0.7500  4 Pd 3.49, 4 K 3.49
Pd 0.5000 0.5000 0.5000  8 Sr 3.49



6.
First-principles (GGA-PBEsol) data for crystalline KSr2Pd2 at its relaxed geometry, as listed in Alexandria via LeMat-Bulk.

E_form, kJ/mol of atoms: -5.4
Total magnetic moment, μB/f.u.: 0.000
Raw total energy, eV per atom: -3.403

a b c (Å): 7.1168 7.1168 7.1168
angles (deg): 134.55 134.55 66.22
Last column: nearest neighbours and their distance in Å.
Sites, in units of the cell vectors:
K 0.0000 0.0000 0.0000  2 Sr 3.92, 8 Pd 4.05
Sr 0.3287 0.3287 0.0000  4 Pd 2.90
Sr 0.6713 0.6713 0.0000  4 Pd 2.90
Pd 0.2500 0.7500 0.5000  4 Sr 2.90
Pd 0.7500 0.2500 0.5000  4 Sr 2.90